Entry from the Open Quantum Materials Database: an optimized crystal structure of TaPb2SeO6 (PBE-GGA).

Computed properties:
Total DFT energy (no corrections) in eV/atom: -6.6117
Space group: I4/mmm (139)
E above lowest polymorph in meV/atom: 0

The structure in POSCAR format:
```
TaPb2SeO6
1.0
-2.7929 2.7929 4.4921
2.7929 -2.7929 4.4921
2.7929 2.7929 -4.4921
Ta Pb Se O
1 2 1 6
Direct
0.0000 0.0000 0.0000
0.2500 0.7500 0.5000
0.7500 0.2500 0.5000
0.5000 0.5000 0.0000
0.2222 0.2222 0.0000
0.2495 0.2495 0.4990
0.2495 0.7505 0.0000
0.7505 0.2495 0.0000
0.7505 0.7505 0.5010
0.7778 0.7778 0.0000
```